DFT (PBE-GGA) results for crystalline VHgBr3 at its relaxed geometry.

The structure in CIF format:
```
data_VHgBr3
_symmetry_space_group_name_H-M 'P m -3 m'
_symmetry_Int_Tables_number 221
_symmetry_space_group_name_Hall '-P 4 2 3'
_cell_length_a 5.1677
_cell_length_b 5.1677
_cell_length_c 5.1677
_cell_angle_alpha 90.00
_cell_angle_beta 90.00
_cell_angle_gamma 90.00
loop_
_atom_site_label
_atom_site_type_symbol
_atom_site_fract_x
_atom_site_fract_y
_atom_site_fract_z
V1 V 0.0000 0.0000 0.0000
Hg1 Hg 0.5000 0.5000 0.5000
Br1 Br 0.0000 0.0000 0.5000
```

Computed properties:
* E above lowest polymorph: 1.205 eV/f.u.
* crystal system: cubic
* E_tot: -16.61 eV/cell
* formation energy from raw total energies: -0.433 eV per atom
* D(E_F): 4.9 states/eV/cell